Record 1
DFT (PBE) results for Ac4Tl2H after structural relaxation.

Computed properties:
Final energy in Ha/atom: -0.1396
SG: No. 11
N(E_F) in states/eV per cell: 11.75
Magnetization in μB per formula unit: 0.00

a = 6.9300 Å, b = 7.4668 Å, c = 10.0522 Å
α = 90.00°, β = 111.14°, γ = 90.00°
Positions (direct):
Ac1 0.1034 0.7500 0.9305
Ac2 0.0709 0.7500 0.3667
Ac3 0.9291 0.2500 0.6333
Ac4 0.4743 0.9980 0.7255
Ac5 0.8966 0.2500 0.0695
Ac6 0.5257 0.4980 0.2745
Ac7 0.5257 0.0020 0.2745
Ac8 0.4743 0.5020 0.7255
Tl1 0.6780 0.7500 0.0381
Tl2 0.3220 0.2500 0.9619
Tl3 0.7868 0.7500 0.5838
Tl4 0.2132 0.2500 0.4162
H1 0.7306 0.2500 0.8010
H2 0.2694 0.7500 0.1990

=====

Record 2
DFT (PBE) results for Ac2TlH after structural relaxation.

Computed properties:
Energy above the most stable polymorph in this dataset in meV per atom: 135
Final energy in Ha/atom: -0.1366
SG: No. 160
N(E_F) in states/eV per cell: 3.23
Magnetization in μB per formula unit: 0.00

a = 4.0018 Å, b = 4.0018 Å, c = 8.8124 Å
α = 76.88°, β = 76.88°, γ = 60.00°
Positions (direct):
H1 0.6658 0.6658 0.0025
Ac1 0.2727 0.2727 0.1820
Ac2 0.0611 0.0611 0.8168
Tl1 0.5004 0.5004 0.4987

=====

Record 3
DFT (PBE) results for Ac3Tl2H after structural relaxation.

Computed properties:
Final energy in Ha/atom: -0.1348
SG: No. 15
N(E_F) in states/eV per cell: 6.99
Magnetization in μB per formula unit: 0.00

a = 6.9824 Å, b = 7.6048 Å, c = 8.2385 Å
α = 99.55°, β = 115.07°, γ = 90.00°
Positions (direct):
Ac1 0.4154 0.2500 0.0000
Ac2 0.7650 0.3768 0.7282
Ac3 0.9632 0.8768 0.7282
Ac4 0.0368 0.1232 0.2718
Ac5 0.5846 0.7500 0.0000
Ac6 0.2350 0.6232 0.2718
Tl1 0.5634 0.0487 0.3521
Tl2 0.7886 0.5487 0.3521
Tl3 0.4366 0.9513 0.6479
Tl4 0.2114 0.4513 0.6479
H1 0.0553 0.2500 0.0000
H2 0.9447 0.7500 0.0000